DFT (GGA-PBE) results for a geometry-optimized PmDy3H structure.

- E_tot (eV for the cell shown) = -22.7
- calculated density (g cm⁻³) = 8.349

Cell and atoms, written as POSCAR:
```
PmDy3H
1.0
5.013 0.000 0.000
0.000 5.013 0.000
0.000 0.000 5.013
H Pm Dy
1 1 3
Direct
0.000 0.000 0.000
0.500 0.500 0.500
0.000 0.500 0.000
0.000 0.000 0.500
0.500 0.000 0.000
```

DFT (GGA-PBE) results for a geometry-optimized PmDy2H8 structure.

- E_tot (eV for the cell shown) = -47.6
- calculated density (g cm⁻³) = 7.470

Cell and atoms, written as POSCAR:
```
PmDy2H8
1.0
3.521 0.000 -1.072
-0.777 4.494 -2.553
0.011 0.573 6.357
Pm Dy H
1 2 8
Direct
0.500 0.000 0.000
0.170 0.670 0.339
0.830 0.330 0.661
0.665 0.899 0.329
0.335 0.570 0.671
0.157 0.157 0.314
0.000 0.282 0.000
0.843 0.843 0.686
0.665 0.430 0.329
0.335 0.101 0.671
0.000 0.718 0.000
```

DFT (GGA-PBE) results for a geometry-optimized PmDyH8Rh2 structure.

- E_tot (eV for the cell shown) = -54.6
- calculated density (g cm⁻³) = 7.083

Cell and atoms, written as POSCAR:
```
PmDyH8Rh2
1.0
-4.323 -1.367 1.880
-0.219 -3.708 3.208
-0.788 2.088 6.114
Pm Dy H Rh
1 1 8 2
Direct
0.500 0.500 0.500
0.000 0.000 0.000
0.177 0.177 0.470
0.557 0.371 0.181
0.823 0.823 0.530
0.891 0.557 0.181
0.109 0.443 0.819
0.371 0.891 0.181
0.629 0.109 0.819
0.443 0.629 0.819
0.268 0.268 0.195
0.732 0.732 0.805
```

DFT (GGA-PBE) results for a geometry-optimized PmSm2DyH structure.

- E_tot (eV for the cell shown) = -23.0
- calculated density (g cm⁻³) = 7.723

Cell and atoms, written as POSCAR:
```
PmSm2DyH
1.0
-3.673 2.904 -1.932
-2.999 -1.175 3.935
1.808 3.997 2.572
Pm Sm Dy H
1 2 1 1
Direct
0.500 0.500 0.500
0.000 0.000 0.500
0.000 0.500 0.000
0.500 0.000 0.000
0.000 0.000 0.000
```

DFT (GGA-PBE) results for a geometry-optimized Pm4Dy2Tl3H2 structure.

- E_tot (eV for the cell shown) = -45.0
- calculated density (g cm⁻³) = 8.688

Cell and atoms, written as POSCAR:
```
Pm4Dy2Tl3H2
1.0
4.807 0.000 0.000
0.000 4.807 0.000
-2.404 -2.404 12.572
Pm Dy Tl H
4 2 3 2
Direct
0.414 0.914 0.827
0.914 0.414 0.827
0.086 0.586 0.173
0.586 0.086 0.173
0.300 0.300 0.600
0.700 0.700 0.400
0.000 0.000 0.000
0.176 0.176 0.353
0.824 0.824 0.647
0.393 0.393 0.785
0.607 0.607 0.215
```

DFT (GGA-PBE) results for a geometry-optimized Pr3DyH8 structure.

- E_tot (eV for the cell shown) = -53.6
- calculated density (g cm⁻³) = 6.103

Cell and atoms, written as POSCAR:
```
Pr3DyH8
1.0
-2.499 4.791 -0.669
-2.983 -0.933 4.459
3.809 2.413 3.053
Pr Dy H
3 1 8
Direct
0.500 0.500 0.000
0.500 0.000 0.500
0.000 0.500 0.500
0.000 0.000 0.000
0.241 0.241 0.759
0.241 0.759 0.241
0.759 0.241 0.241
0.759 0.759 0.759
0.759 0.759 0.241
0.759 0.241 0.759
0.241 0.759 0.759
0.241 0.241 0.241
```

Which value of calculated density does entry 6 give? 6.103 g cm⁻³